Compound: BaCdPb2
Source: Alexandria via LeMat-Bulk
Functional: PBE-GGA
Structure: relaxed

Structure (POSCAR):
```
BaCdPb2
1.0
4.048 0.000 0.000
0.000 4.265 0.000
0.000 0.000 7.830
Ba Cd Pb
1 1 2
direct
0.000 0.000 0.000
0.500 0.500 0.283
0.000 0.000 0.491
0.500 0.500 0.694
```

Computed properties:
D(E_F)	2.47	states/eV per cell
total energy	-2.8048	eV per atom
V	33.80	Å³/atom